The following is a DFT calculation (PBE) of crystalline Li2CaPb2 at its relaxed geometry. Values from VASP.

```
&SYSTEM
  ibrav = 0, nat = 10, ntyp = 3
/
ATOMIC_SPECIES
Ca 40.08 Ca.upf
Li 6.94 Li.upf
Pb 207.20 Pb.upf
ATOMIC_POSITIONS crystal
Ca 0.250 0.801 0.267
Ca 0.750 0.199 0.733
Li 0.250 0.368 0.999
Li 0.250 0.728 0.657
Li 0.750 0.632 0.001
Li 0.750 0.272 0.343
Pb 0.750 0.123 0.080
Pb 0.250 0.266 0.496
Pb 0.750 0.734 0.504
Pb 0.250 0.877 0.920
CELL_PARAMETERS angstrom
-2.193 -4.006 1.782
4.567 -2.674 -0.392
3.069 2.411 9.200
```

## Properties
The energy relative to the elements comes out at -1.7 eV per formula unit. The uncorrected energy comes out at -2.98 eV/atom.

---

The following is a DFT calculation (PBE) of crystalline AlNiSb at its relaxed geometry. Values from VASP.

```
&SYSTEM
  ibrav = 0, nat = 3, ntyp = 3
/
ATOMIC_SPECIES
Sb 121.76 Sb.upf
Al 26.98 Al.upf
Ni 58.69 Ni.upf
ATOMIC_POSITIONS crystal
Sb 0.333 0.667 0.628
Al 0.000 0.000 0.053
Ni 0.667 0.333 0.320
CELL_PARAMETERS angstrom
-2.741 0.662 1.676
2.316 -1.905 1.330
2.530 4.674 2.289
```

## Properties
The uncorrected energy comes out at -4.61 eV/atom.

---

The following is a DFT calculation (PBE) of crystalline Ba2SrLa at its relaxed geometry. Values from VASP.

```
&SYSTEM
  ibrav = 0, nat = 4, ntyp = 3
/
ATOMIC_SPECIES
Sr 87.62 Sr.upf
La 138.91 La.upf
Ba 137.33 Ba.upf
ATOMIC_POSITIONS crystal
Sr 0.750 0.250 0.500
La 0.250 0.750 0.500
Ba 0.500 0.500 0.000
Ba 0.000 0.000 0.000
CELL_PARAMETERS angstrom
7.265 0.007 0.000
2.430 6.847 0.000
-4.848 -3.427 4.188
```

## Properties
The energy relative to the elements comes out at 0.7 eV per formula unit. The uncorrected energy comes out at -2.43 eV/atom.

---

Q: Which of these has the lowest uncorrected energy?
A: AlNiSb

---

Q: Which formula does entry 3 have?
A: Ba2SrLa